# 1
First-principles (PBE) data for a relaxed MgCu2Hg2Pd5 crystal, as listed in Alexandria.

Values from the calculation:
Symmetry = No. 127
E_tot = -3.81 eV per atom

Cell lengths 4.000, 9.123, 9.123 Å; angles 90.00, 90.00, 90.00 degrees
Fractional coordinates of all 20 atoms:
Pd (0.500, 0.500, 0.000)
Pd (0.500, 0.000, 0.500)
Pd (0.500, 0.418, 0.304)
Pd (0.500, 0.304, 0.582)
Pd (0.500, 0.196, 0.082)
Pd (0.500, 0.582, 0.696)
Pd (0.500, 0.696, 0.418)
Pd (0.500, 0.082, 0.804)
Pd (0.500, 0.804, 0.918)
Pd (0.500, 0.918, 0.196)
Cu (0.000, 0.124, 0.624)
Cu (0.000, 0.876, 0.376)
Cu (0.000, 0.624, 0.876)
Cu (0.000, 0.376, 0.124)
Mg (0.000, 0.500, 0.500)
Mg (0.000, 0.000, 0.000)
Hg (0.000, 0.829, 0.671)
Hg (0.000, 0.671, 0.171)
Hg (0.000, 0.171, 0.329)
Hg (0.000, 0.329, 0.829)

***

# 2
First-principles (PBE) data for a relaxed CeThTlPb crystal, as listed in Alexandria.

Values from the calculation:
Energy relative to the lowest polymorph listed for this composition = 0.085 eV per atom
Symmetry = No. 216
E_tot = -5.04 eV per atom

Cell lengths 5.541, 5.541, 5.541 Å; angles 60.00, 60.00, 60.00 degrees
Fractional coordinates of all 4 atoms:
Th (0.750, 0.750, 0.750)
Tl (0.500, 0.500, 0.500)
Ce (0.250, 0.250, 0.250)
Pb (0.000, 0.000, 0.000)

***

# 3
First-principles (PBE) data for a relaxed Sr2SbSe2 crystal, as listed in Alexandria.

Values from the calculation:
Energy relative to the lowest polymorph listed for this composition = 0.000 eV per atom
Energy relative to the elements, uncorrected = -1.264 eV/atom
Symmetry = No. 127
E_tot = -4.15 eV per atom

Cell lengths 8.466, 8.466, 4.107 Å; angles 90.00, 90.00, 90.00 degrees
Fractional coordinates of all 10 atoms:
Sr (0.341, 0.159, 0.500)
Sr (0.659, 0.841, 0.500)
Sr (0.841, 0.341, 0.500)
Sr (0.159, 0.659, 0.500)
Se (0.348, 0.848, 0.000)
Se (0.652, 0.152, 0.000)
Se (0.152, 0.348, 0.000)
Se (0.848, 0.652, 0.000)
Sb (0.000, 0.000, 0.000)
Sb (0.500, 0.500, 0.000)